First-principles (PBE) data for TbCe2P after structural relaxation, as listed in Alexandria via LeMat-Bulk.

Lattice parameters (Å, degrees): 3.7317 3.7317 10.1294 79.39 79.39 60.00
With the nearest neighbours (Å) after each atom.
Fractional coordinates of all 4 atoms:
Tb1 0.0000 0.0000 0.0000  2 Ce 3.21
Ce1 0.8918 0.8918 0.3246  3 P 2.77
Ce2 0.1082 0.1082 0.6754  3 P 2.77
P1 0.5000 0.5000 0.5000  6 Ce 2.77

- density (g cm⁻³) = 6.54
- electronic total energy (eV/cell) = -23.51

First-principles (PBE) data for Ca2ErPuN4 after structural relaxation, as listed in Alexandria via LeMat-Bulk.

Lattice parameters (Å, degrees): 3.4876 5.9346 5.9998 108.61 90.00 90.00
With the nearest neighbours (Å) after each atom.
Fractional coordinates of all 8 atoms:
N1 0.5000 0.7661 0.7786  2 Pu 2.36, 1 Er 2.37, 3 Ca 2.49-2.58
N2 0.0000 0.7617 0.2126  1 Pu 2.19, 2 Er 2.41
N3 0.5000 0.2339 0.2214  2 Pu 2.36, 1 Er 2.37, 3 Ca 2.49-2.58
N4 0.0000 0.2383 0.7874  1 Pu 2.19, 2 Er 2.41
Er1 0.5000 0.5000 0.0000  6 N 2.37-2.41
Pu1 0.0000 0.0000 0.0000  6 N 2.19-2.36
Ca1 0.5000 0.0000 0.5000  6 N 2.49-2.54
Ca2 0.0000 0.5000 0.5000  6 N 2.58-2.66

- density (g cm⁻³) = 7.72
- electronic total energy (eV/cell) = -66.52
- formation energy (no corrections) (eV/atom) = -1.290

First-principles (PBE) data for GaSnAu after structural relaxation, as listed in Alexandria via LeMat-Bulk.

Lattice parameters (Å, degrees): 4.1772 4.1772 7.3526 90.00 90.00 90.00
With the nearest neighbours (Å) after each atom.
Fractional coordinates of all 6 atoms:
Au1 0.5000 0.0000 0.2546  4 Ga 2.76, 5 Sn 2.85-3.09
Au2 0.0000 0.5000 0.7454  4 Ga 2.76, 5 Sn 2.85-3.09
Sn1 0.5000 0.0000 0.8666  5 Au 2.85-3.09
Sn2 0.0000 0.5000 0.1334  5 Au 2.85-3.09
Ga1 0.5000 0.5000 0.5000  4 Au 2.76, 4 Ga 2.95
Ga2 0.0000 0.0000 0.5000  4 Au 2.76, 4 Ga 2.95

- density (g cm⁻³) = 9.98
- electronic total energy (eV/cell) = -21.40